Here is HfMn3Si3 after structural relaxation from Alexandria. Energies are from PBE.

CIF file:
```
data_HfMn3Si3
_chemical_formula_sum 'Hf2 Mn6 Si6'
_space_group_name_H-M_alt 'P m -3 n'
_space_group_IT_number 223
_space_group_name_Hall '-P 4n 2 3'
_cell_length_a 6.227
_cell_length_b 6.227
_cell_length_c 6.227
_cell_angle_alpha 90.00
_cell_angle_beta 90.00
_cell_angle_gamma 90.00
loop_
_atom_site_label
_atom_site_fract_x
_atom_site_fract_y
_atom_site_fract_z
Hf1 0.000 0.000 0.000
Mn1 0.000 0.250 0.500
Si1 0.000 0.500 0.250
```

Results
The value obtained for the final energy is -99.5 eV/cell.

Here is ZnGa12Ag3 after structural relaxation from Alexandria. Energies are from PBE.

CIF file:
```
data_ZnGa12Ag3
_chemical_formula_sum 'Zn1 Ga12 Ag3'
_space_group_name_H-M_alt 'P 4/m m m'
_space_group_IT_number 123
_space_group_name_Hall '-P 4 2'
_cell_length_a 4.184
_cell_length_b 4.184
_cell_length_c 16.740
_cell_angle_alpha 90.00
_cell_angle_beta 90.00
_cell_angle_gamma 90.00
loop_
_atom_site_label
_atom_site_fract_x
_atom_site_fract_y
_atom_site_fract_z
Zn1 0.000 0.000 0.000
Ga1 0.000 0.500 0.123
Ga2 0.000 0.500 0.374
Ga3 0.500 0.500 0.000
Ga4 0.500 0.500 0.249
Ga5 0.500 0.500 0.500
Ag1 0.000 0.000 0.245
Ag2 0.000 0.000 0.500
```

Results
The energy of formation from the pure elements comes out at 0.03 eV/atom.

Here is CdAsRu4 after structural relaxation from Alexandria. Energies are from PBE.

CIF file:
```
data_CdAsRu4
_chemical_formula_sum 'Cd4 As4 Ru16'
_space_group_name_H-M_alt 'F -4 3 m'
_space_group_IT_number 216
_space_group_name_Hall 'F -4 2 3'
_cell_length_a 7.358
_cell_length_b 7.358
_cell_length_c 7.358
_cell_angle_alpha 90.00
_cell_angle_beta 90.00
_cell_angle_gamma 90.00
loop_
_atom_site_label
_atom_site_fract_x
_atom_site_fract_y
_atom_site_fract_z
Cd1 0.000 0.000 0.000
As1 0.250 0.250 0.250
Ru1 0.125 0.125 0.625
```

Results
The energy of formation from the pure elements comes out at 0.59 eV/atom.

no.,ρ (kg/m3),total moment (Bohr magnetons per cell)
1,5880,9.3
2,6946,0.0
3,9863,10.4